(1)
A relaxed AgPO3 crystal. Source: Alexandria, functional GGA-PBEsol.

abc: 4.2885 5.7314 11.8970
angles: 94.04 90.00 90.00
Last column: nearest neighbours and their distance in Å.
Positions (direct):
Ag1 0.8477 0.7171 0.0381  2 O 2.16-2.19
Ag2 0.6523 0.2171 0.5381  2 O 2.16-2.19
Ag3 0.1523 0.2829 0.9619  2 O 2.16-2.19
Ag4 0.3477 0.7829 0.4619  2 O 2.16-2.19
P1 0.8217 0.7974 0.6711  4 O 1.50-1.61
P2 0.1783 0.2026 0.3289  4 O 1.50-1.61
P3 0.6783 0.2974 0.1711  4 O 1.50-1.61
P4 0.3217 0.7026 0.8289  4 O 1.50-1.61
O1 0.8272 0.1366 0.0806  1 P 1.51
O2 0.4214 0.1401 0.2279  2 P 1.60-1.61
O3 0.3272 0.3634 0.4194  1 P 1.51
O4 0.5786 0.8599 0.7721  2 P 1.60-1.61
O5 0.1728 0.8634 0.9194  1 P 1.51
O6 0.9626 0.0253 0.6413  1 P 1.50
O7 0.6728 0.6366 0.5806  1 P 1.51
O8 0.9214 0.3599 0.2721  2 P 1.60-1.61
O9 0.4626 0.4747 0.8587  1 P 1.50
O10 0.0374 0.9747 0.3587  1 P 1.50
O11 0.5374 0.5253 0.1413  1 P 1.50
O12 0.0786 0.6401 0.7279  2 P 1.60-1.61

Results
**Crystal system**: monoclinic
**DOS(E_F)**: 0.00 states/eV/atom
**Final energy**: -6.4863 eV per atom

---

(2)
A relaxed Ag3PO4 crystal. Source: Alexandria, functional GGA-PBEsol.

abc: 5.9876 5.9876 5.9876
angles: 89.07 89.07 89.07
Last column: nearest neighbours and their distance in Å.
Positions (direct):
O1 0.1526 0.1526 0.1526  1 P 1.59
O2 0.8734 0.8369 0.1579  1 P 1.55
O3 0.3734 0.6579 0.3369  1 P 1.55
O4 0.6526 0.6526 0.6526  1 P 1.59
O5 0.8369 0.1579 0.8734  1 P 1.55
O6 0.6579 0.3369 0.3734  1 P 1.55
O7 0.3369 0.3734 0.6579  1 P 1.55
O8 0.1579 0.8734 0.8369  1 P 1.55
Ag1 0.0038 0.4961 0.1869  2 O 2.18-2.24
Ag2 0.4961 0.1869 0.0038  2 O 2.18-2.24
Ag3 0.9961 0.5038 0.6869  2 O 2.18-2.24
Ag4 0.1869 0.0038 0.4961  2 O 2.18-2.24
Ag5 0.6869 0.9961 0.5038  2 O 2.18-2.24
Ag6 0.5038 0.6869 0.9961  2 O 2.18-2.24
P1 0.5015 0.5015 0.5015  4 O 1.55-1.59
P2 0.0015 0.0015 0.0015  4 O 1.55-1.59

Results
**Crystal system**: trigonal
**Final energy**: -5.6201 eV per atom

---

(3)
A relaxed AgPO3 crystal. Source: Alexandria, functional GGA-PBEsol.

abc: 3.5431 3.5431 3.5431
angles: 90.00 90.00 90.00
Last column: nearest neighbours and their distance in Å.
Positions (direct):
O1 0.0000 0.5000 0.0000  2 P 1.77
O2 0.5000 0.0000 0.0000  2 P 1.77
O3 0.0000 0.0000 0.5000  2 P 1.77
P1 0.0000 0.0000 0.0000  6 O 1.77
Ag1 0.5000 0.5000 0.5000  12 O 2.51

Results
**Crystal system**: cubic
**DOS(E_F)**: 1.15 states/eV/atom
**Final energy**: -5.7249 eV per atom

---

(4)
A relaxed AgPO4 crystal. Source: Alexandria, functional GGA-PBEsol.

abc: 4.9587 9.5837 15.1185
angles: 98.45 100.11 105.40
Last column: nearest neighbours and their distance in Å.
Positions (direct):
O1 0.5630 0.9187 0.6381  1 P 1.57
O2 0.3081 0.1168 0.6082  1 P 1.55
O3 0.2281 0.8293 0.2733  1 P 1.49
O4 0.4370 0.0813 0.3619  1 P 1.57
O5 0.7532 0.8782 0.8679  1 P 1.61
O6 0.2468 0.1218 0.1321  1 P 1.61
O7 0.2530 0.8815 0.4500  1 P 1.61
O8 0.9392 0.6714 0.5444  1 P 1.52
O9 0.7505 0.9303 0.0867  1 P 1.54
O10 0.6919 0.8832 0.3918  1 P 1.55
O11 0.5756 0.3822 0.9481  1 P 1.61
O12 0.4693 0.4051 0.1298  1 P 1.57
O13 0.7719 0.1707 0.7267  1 P 1.49
O14 0.3586 0.5814 0.4276  1 P 1.54
O15 0.6414 0.4186 0.5724  1 P 1.54
O16 0.0608 0.3286 0.4556  1 P 1.52
O17 0.8383 0.1934 0.0495  1 P 1.53
O18 0.2495 0.0697 0.9133  1 P 1.54
O19 0.6251 0.6503 0.2279  1 P 1.49
O20 0.9527 0.4231 0.3067  1 P 1.55
O21 0.1617 0.8066 0.9505  1 P 1.53
O22 0.3749 0.3497 0.7721  1 P 1.49
O23 0.5307 0.5949 0.8702  1 P 1.57
O24 0.5873 0.6537 0.6425  1 P 1.59
O25 0.9170 0.6043 0.1108  1 P 1.55
O26 0.4244 0.6178 0.0519  1 P 1.61
O27 0.4127 0.3463 0.3575  1 P 1.59
O28 0.7470 0.1185 0.5500  1 P 1.61
O29 0.0473 0.5769 0.6933  1 P 1.55
O30 0.0830 0.3957 0.8892  1 P 1.55
O31 0.8512 0.1389 0.2132  1 P 1.55
O32 0.1488 0.8611 0.7868  1 P 1.55
Ag1 0.6272 0.7684 0.9748  4 O 2.00-2.15
Ag2 0.0000 0.5000 0.0000  4 O 1.99-2.05
Ag3 0.5857 0.2595 0.2462  4 O 2.02-2.18
Ag4 0.3728 0.2316 0.0252  4 O 2.00-2.15
Ag5 0.4148 0.7465 0.5333  4 O 1.99-2.14
Ag6 0.5852 0.2535 0.4667  4 O 1.99-2.14
Ag7 0.4143 0.7405 0.7538  4 O 2.02-2.18
Ag8 0.0000 0.0000 0.5000  4 O 1.98-2.07
P1 0.6173 0.5738 0.1340  4 O 1.49-1.61
P2 0.5999 0.0853 0.6346  4 O 1.49-1.61
P3 0.9074 0.0972 0.1169  4 O 1.53-1.61
P4 0.0926 0.9028 0.8831  4 O 1.53-1.61
P5 0.4001 0.9147 0.3654  4 O 1.49-1.61
P6 0.1816 0.4182 0.3892  4 O 1.52-1.59
P7 0.3827 0.4262 0.8660  4 O 1.49-1.61
P8 0.8184 0.5818 0.6108  4 O 1.52-1.59

Results
**Crystal system**: triclinic
**DOS(E_F)**: 0.22 states/eV/atom
**Final energy**: -6.1617 eV per atom

---

(5)
A relaxed AgP2O2 crystal. Source: Alexandria, functional GGA-PBEsol.

abc: 3.8486 3.8486 4.8739
angles: 90.00 90.00 90.00
Last column: nearest neighbours and their distance in Å.
Positions (direct):
O1 0.5000 0.0000 0.0000  2 Ag 1.92
O2 0.0000 0.5000 0.0000  2 Ag 1.92
Ag1 0.0000 0.0000 0.0000  4 O 1.92
P1 0.0000 0.0000 0.5000  2 Ag 2.44, 4 P 2.72
P2 0.5000 0.5000 0.5000  4 P 2.72

Results
**Crystal system**: tetragonal
**Distance to the lowest polymorph of the same formula**: 1278 meV/atom
**DOS(E_F)**: 0.70 states/eV/atom

---

(6)
A relaxed AgP2O2 crystal. Source: Alexandria, functional GGA-PBEsol.

abc: 3.8936 3.8936 4.1663
angles: 90.00 90.00 90.00
Last column: nearest neighbours and their distance in Å.
Positions (direct):
O1 0.0000 0.0000 0.0000  4 P 1.95, 2 O 2.08
O2 0.0000 0.0000 0.5000  2 O 2.08
Ag1 0.5000 0.5000 0.5000  4 O 2.75, 8 P 2.85
P1 0.0000 0.5000 0.0000  2 O 1.95
P2 0.5000 0.0000 0.0000  2 O 1.95

Results
**Crystal system**: tetragonal
**Distance to the lowest polymorph of the same formula**: 1077 meV/atom
**DOS(E_F)**: 0.45 states/eV/atom

---

(7)
A relaxed AgP2O2 crystal. Source: Alexandria, functional GGA-PBEsol.

abc: 3.4369 3.4369 4.9388
angles: 90.00 90.00 90.00
Last column: nearest neighbours and their distance in Å.
Positions (direct):
O1 0.5000 0.0000 0.0000  2 P 1.72
O2 0.0000 0.5000 0.0000  2 P 1.72
Ag1 0.5000 0.5000 0.5000  4 P 2.43
P1 0.0000 0.0000 0.0000  4 O 1.72
P2 0.0000 0.0000 0.5000  4 Ag 2.43, 2 P 2.47

Results
**Crystal system**: tetragonal
**Distance to the lowest polymorph of the same formula**: 0 meV/atom
**DOS(E_F)**: 0.26 states/eV/atom

---

(8)
A relaxed AgPPbO2 crystal. Source: Alexandria, functional GGA-PBEsol.

abc: 4.0559 4.0559 5.5985
angles: 90.00 90.00 90.00
Last column: nearest neighbours and their distance in Å.
Positions (direct):
Ag1 0.5000 0.5000 0.5000  4 P 2.87
P1 0.0000 0.0000 0.5000  2 Pb 2.80, 4 Ag 2.87
O1 0.5000 0.0000 0.0000  2 Pb 2.03
O2 0.0000 0.5000 0.0000  2 Pb 2.03
Pb1 0.0000 0.0000 0.0000  4 O 2.03

Results
**Crystal system**: tetragonal
**DOS(E_F)**: 1.07 states/eV/atom
**Final energy**: -4.3151 eV per atom